A plane-wave DFT calculation with GGA-PBE was carried out for an optimized crystal structure of Dy5Te2As2.

* energy relative to the elements, uncorrected: -1.206 eV per atom

Lattice parameters (Å, degrees): 8.5075 8.5075 7.8377 90.00 90.00 54.80
Sites, in units of the cell vectors:
Dy1 0.0000 0.0000 0.0000
Dy2 0.0300 0.7169 0.6577
Dy3 0.2169 0.5300 0.1577
Dy4 0.2831 0.9700 0.6577
Dy5 0.4700 0.7831 0.1577
Dy6 0.5000 0.5000 0.5000
Dy7 0.5300 0.2169 0.8423
Dy8 0.7169 0.0300 0.3423
Dy9 0.7831 0.4700 0.8423
Dy10 0.9700 0.2831 0.3423
Te1 0.2020 0.2020 0.0000
Te2 0.2980 0.2980 0.5000
Te3 0.7020 0.7020 0.5000
Te4 0.7980 0.7980 0.0000
As1 0.1470 0.8530 0.3558
As2 0.3530 0.6470 0.8558
As3 0.6470 0.3530 0.1442
As4 0.8530 0.1470 0.6442

=====

A plane-wave DFT calculation with GGA-PBE was carried out for an optimized crystal structure of Dy6Te5As.

* energy relative to the elements, uncorrected: -1.366 eV per atom

Lattice parameters (Å, degrees): 7.4949 7.4949 7.4832 99.53 99.53 120.07
Sites, in units of the cell vectors:
Dy1 0.0751 0.3810 0.7290
Dy2 0.2248 0.2248 0.2628
Dy3 0.3810 0.0751 0.7290
Dy4 0.6190 0.9249 0.2710
Dy5 0.7752 0.7752 0.7372
Dy6 0.9249 0.6190 0.2710
Te1 0.1756 0.8244 0.0000
Te2 0.3355 0.6645 0.5000
Te3 0.5000 0.5000 0.0000
Te4 0.6645 0.3355 0.5000
Te5 0.8244 0.1756 0.0000
As1 0.0000 0.0000 0.5000

=====

In states/eV per cell, the density of states at the Fermi level values for the records above are, in order, 16.4, 6.3.
In eV/atom, the total energy values for the records above are, in order, -5.494, -5.363.